Entry from the Alexandria database: Cu3SF at its PBEsol-relaxed geometry (meta-GGA SCAN).

Geometry as CIF:
```
data_Cu3SF
_cell_length_a 4.040
_cell_length_b 4.040
_cell_length_c 4.040
_cell_angle_alpha 90.00
_cell_angle_beta 90.00
_cell_angle_gamma 90.00
_space_group_name_H-M_alt 'P 1'
_space_group_IT_number 1
loop_
_space_group_symop_operation_xyz
'x,y,z'
loop_
_atom_site_label
_atom_site_type_symbol
_atom_site_fract_x
_atom_site_fract_y
_atom_site_fract_z
Cu1 Cu 0.000 0.000 0.500
Cu2 Cu 0.000 0.500 0.000
Cu3 Cu 0.500 0.000 0.000
S1 S 0.500 0.500 0.500
F1 F 0.000 0.000 0.000
```

Size of the total moment ... 0.000 μB/f.u.
Space group ... Pm-3m (221)
Final energy ... -11.719 eV per atom
Uncorrected formation energy ... 3.28 kJ per mole of atoms

---

Entry from the Alexandria database: CuS3F at its PBEsol-relaxed geometry (meta-GGA SCAN).

Geometry as CIF:
```
data_CuS3F
_cell_length_a 4.396
_cell_length_b 4.396
_cell_length_c 4.396
_cell_angle_alpha 90.00
_cell_angle_beta 90.00
_cell_angle_gamma 90.00
_space_group_name_H-M_alt 'P 1'
_space_group_IT_number 1
loop_
_space_group_symop_operation_xyz
'x,y,z'
loop_
_atom_site_label
_atom_site_type_symbol
_atom_site_fract_x
_atom_site_fract_y
_atom_site_fract_z
S1 S 0.000 0.500 0.000
S2 S 0.500 0.000 0.000
S3 S 0.000 0.000 0.500
Cu1 Cu 0.000 0.000 0.000
F1 F 0.500 0.500 0.500
```

Size of the total moment ... 0.001 μB/f.u.
Space group ... Pm-3m (221)
Final energy ... -8.824 eV per atom
Uncorrected formation energy ... 67.60 kJ per mole of atoms

---

Entry from the Alexandria database: CuSeSF2 at its PBEsol-relaxed geometry (meta-GGA SCAN).

Geometry as CIF:
```
data_CuSeSF2
_cell_length_a 3.712
_cell_length_b 3.712
_cell_length_c 5.370
_cell_angle_alpha 90.00
_cell_angle_beta 90.00
_cell_angle_gamma 90.00
_space_group_name_H-M_alt 'P 1'
_space_group_IT_number 1
loop_
_space_group_symop_operation_xyz
'x,y,z'
loop_
_atom_site_label
_atom_site_type_symbol
_atom_site_fract_x
_atom_site_fract_y
_atom_site_fract_z
Cu1 Cu 0.000 0.000 0.500
Se1 Se 0.500 0.500 0.500
F1 F 0.000 0.500 0.000
F2 F 0.500 0.000 0.000
S1 S 0.000 0.000 0.000
```

Size of the total moment ... 0.197 μB/f.u.
Space group ... P4/mmm (123)
Final energy ... -10.641 eV per atom
Uncorrected formation energy ... -23.52 kJ per mole of atoms

---

Q: Number 2 is which compound?
A: CuS3F

---

Copy entry 3 word for word.
Entry from the Alexandria database: CuSeSF2 at its PBEsol-relaxed geometry (meta-GGA SCAN).

Geometry as CIF:
```
data_CuSeSF2
_cell_length_a 3.712
_cell_length_b 3.712
_cell_length_c 5.370
_cell_angle_alpha 90.00
_cell_angle_beta 90.00
_cell_angle_gamma 90.00
_space_group_name_H-M_alt 'P 1'
_space_group_IT_number 1
loop_
_space_group_symop_operation_xyz
'x,y,z'
loop_
_atom_site_label
_atom_site_type_symbol
_atom_site_fract_x
_atom_site_fract_y
_atom_site_fract_z
Cu1 Cu 0.000 0.000 0.500
Se1 Se 0.500 0.500 0.500
F1 F 0.000 0.500 0.000
F2 F 0.500 0.000 0.000
S1 S 0.000 0.000 0.000
```

Size of the total moment ... 0.197 μB/f.u.
Space group ... P4/mmm (123)
Final energy ... -10.641 eV per atom
Uncorrected formation energy ... -23.52 kJ per mole of atoms